Record 1
The following is a GGA-PBE calculation of a relaxed structure of AlCu3, from OQMD via LeMat-Bulk.

abc: 5.2114 5.2114 4.2205
angles: 90.00 90.00 120.00
Space group P6_3/mmc (No. 194)
Unique sites:
Al 0.3333 0.6667 0.2500
Cu 0.1658 0.3317 0.7500

Summary:
energy = -3.91 eV per atom

Record 2
The following is a GGA-PBE calculation of a relaxed structure of YCdTe, from OQMD via LeMat-Bulk.

abc: 7.250 7.250 7.250
angles: 90.00 90.00 90.00
Space group F-43m (No. 216)
Unique sites:
Y 0.000 0.000 0.000
Cd 0.250 0.250 0.750
Te 0.250 0.250 0.250

Summary:
excess energy over the best structure of this formula in the dataset = 0.0 kJ/mol of atoms
M_tot = 0.1 μB/f.u.

Record 3
The following is a GGA-PBE calculation of a relaxed structure of NaPmTm, from OQMD via LeMat-Bulk.

abc: 7.514 7.514 7.514
angles: 90.00 90.00 90.00
Space group F-43m (No. 216)
Unique sites:
Na 0.000 0.000 0.000
Pm 0.250 0.250 0.750
Tm 0.250 0.250 0.250

Summary:
excess energy over the best structure of this formula in the dataset = 0.0 kJ/mol of atoms
M_tot = 1.1 μB/f.u.

Record 4
The following is a GGA-PBE calculation of a relaxed structure of GdZn, from OQMD via LeMat-Bulk.

abc: 6.578 4.614 6.148
angles: 90.00 90.00 90.00
Space group Pnma (No. 62)
Unique sites:
Gd 0.157 0.250 0.135
Zn 0.052 0.250 0.624

Summary:
excess energy over the best structure of this formula in the dataset = 4.3 kJ/mol of atoms
M_tot = 0.0 μB/f.u.
energy relative to the elements = -0.2937 eV per atom

Record 5
The following is a GGA-PBE calculation of a relaxed structure of SmTeAuO, from OQMD via LeMat-Bulk.

abc: 10.361 5.803 5.825
angles: 90.00 90.00 90.00
Space group Aem2 (No. 39)
Unique sites:
Sm 0.108 0.250 0.000
Te 0.281 0.250 0.501
Au 0.500 0.000 0.001
O 0.000 0.000 0.250

Summary:
excess energy over the best structure of this formula in the dataset = 0.0 kJ/mol of atoms
M_tot = 0.0 μB/f.u.

Record 6
The following is a GGA-PBE calculation of a relaxed structure of SmAlGe, from OQMD via LeMat-Bulk.

abc: 6.871 6.871 6.871
angles: 90.00 90.00 90.00
Space group F-43m (No. 216)
Unique sites:
Sm 0.000 0.000 0.000
Al 0.250 0.250 0.750
Ge 0.250 0.250 0.250

Summary:
M_tot = 0.0 μB/f.u.
energy = -4.34 eV per atom

Record 7
The following is a GGA-PBE calculation of a relaxed structure of ZrCoSb, from OQMD via LeMat-Bulk.

abc: 6.7136 6.7136 4.1083
angles: 90.00 90.00 120.00
Space group P-62m (No. 189)
Unique sites:
Zr 0.0000 0.5748 0.0000
Co 0.0000 0.2453 0.5000
Sb 0.0000 0.0000 0.0000
Sb 0.3333 0.6667 0.5000

Summary:
M_tot = 0.5 μB/f.u.
energy = -7.03 eV per atom

Record 8
The following is a GGA-PBE calculation of a relaxed structure of CsTbPu, from OQMD via LeMat-Bulk.

abc: 8.454 8.454 8.454
angles: 90.00 90.00 90.00
Space group F-43m (No. 216)
Unique sites:
Cs 0.000 0.000 0.000
Tb 0.000 0.000 0.500
Pu 0.250 0.250 0.750

Summary:
excess energy over the best structure of this formula in the dataset = 0.0 kJ/mol of atoms
M_tot = 8.7 μB/f.u.

What is the formula in the third record? NaPmTm

Which formula does entry 8 have? CsTbPu